one) Tl5Hg6 | Alexandria via LeMat-Bulk | PBE-GGA | optimized geometry; symmetry = No. 12; crystal system = monoclinic
1.0
2.4802 -7.6453 0.0000
2.4802 7.6453 0.0000
-0.0076 0.0000 8.8260
Tl Hg
5 6
direct
0.0000 0.0000 0.0000
0.3297 0.6703 0.0000
0.3429 0.6571 0.5000
0.6571 0.3429 0.5000
0.6703 0.3297 0.0000
0.1627 0.8369 0.2578
0.1631 0.8373 0.7422
0.4992 0.4992 0.7430
0.5008 0.5008 0.2570
0.8369 0.1627 0.2578
0.8373 0.1631 0.7422

***

two) Tl5Hg6 | Alexandria via LeMat-Bulk | PBE-GGA | optimized geometry; symmetry = No. 12; crystal system = monoclinic
1.0
3.4841 -6.2716 0.0000
3.4841 6.2716 0.0000
-2.5662 0.0000 7.6678
Tl Hg
5 6
direct
0.0000 0.0000 0.0000
0.1463 0.8537 0.5000
0.2761 0.7239 0.0000
0.7239 0.2761 0.0000
0.8537 0.1463 0.5000
0.2070 0.4637 0.3120
0.3196 0.3196 0.7945
0.4637 0.2070 0.3120
0.5363 0.7930 0.6880
0.6804 0.6804 0.2055
0.7930 0.5363 0.6880

***

So which one is most stable? That would be two), about 0.6 kJ/mol of atoms below the next structure.